<one>
Entry from OQMD: a relaxed BeTcPO crystal (PBE).

```
data_BeTcPO
_chemical_formula_sum 'Be2 Tc2 P2 O2'
_symmetry_space_group_name_H-M 'P m c 21'
_symmetry_Int_Tables_number 26
_symmetry_space_group_name_Hall 'P 2c -2'
_cell_length_a 2.885
_cell_length_b 6.809
_cell_length_c 4.764
_cell_angle_alpha 90.00
_cell_angle_beta 90.00
_cell_angle_gamma 90.00
loop_
_atom_site_label
_atom_site_fract_x
_atom_site_fract_y
_atom_site_fract_z
Be1 0.000 0.087 0.000
Tc1 0.500 0.352 0.338
P1 0.500 0.307 0.828
O1 0.000 0.105 0.325
```

***

<two>
Entry from OQMD: a relaxed BeTcPO crystal (PBE).

```
data_BeTcPO
_chemical_formula_sum 'Be2 Tc2 P2 O2'
_symmetry_space_group_name_H-M 'P m c 21'
_symmetry_Int_Tables_number 26
_symmetry_space_group_name_Hall 'P 2c -2'
_cell_length_a 2.881
_cell_length_b 5.714
_cell_length_c 5.796
_cell_angle_alpha 90.00
_cell_angle_beta 90.00
_cell_angle_gamma 90.00
loop_
_atom_site_label
_atom_site_fract_x
_atom_site_fract_y
_atom_site_fract_z
Be1 0.000 0.107 0.000
Tc1 0.500 0.498 0.247
P1 0.000 0.272 0.498
O1 0.500 0.215 0.995
```

***

<three>
Entry from OQMD: a relaxed BeTcPO crystal (PBE).

```
data_BeTcPO
_chemical_formula_sum 'Be2 Tc2 P2 O2'
_symmetry_space_group_name_H-M 'P 4/n m m'
_symmetry_Int_Tables_number 129
_cell_length_a 3.540
_cell_length_b 3.540
_cell_length_c 8.744
_cell_angle_alpha 90.00
_cell_angle_beta 90.00
_cell_angle_gamma 90.00
loop_
_symmetry_equiv_pos_as_xyz
'x,y,z'
'-x,-y,-z'
'-y+1/2,x,z'
'y+1/2,-x,-z'
'-x+1/2,-y+1/2,z'
'x+1/2,y+1/2,-z'
'y,-x+1/2,z'
'-y,x+1/2,-z'
'x+1/2,-y,-z'
'-x+1/2,y,z'
'-y,-x,-z'
'y,x,z'
'-x,y+1/2,-z'
'x,-y+1/2,z'
'y+1/2,x+1/2,-z'
'-y+1/2,-x+1/2,z'
loop_
_atom_site_label
_atom_site_fract_x
_atom_site_fract_y
_atom_site_fract_z
Be1 0.250 0.250 0.014
Tc1 0.250 0.750 0.500
P1 0.250 0.250 0.308
O1 0.250 0.750 0.000
```

***

<four>
Entry from OQMD: a relaxed BeTcPO crystal (PBE).

```
data_BeTcPO
_chemical_formula_sum 'Be2 Tc2 P2 O2'
_symmetry_space_group_name_H-M 'P 4/n m m'
_symmetry_Int_Tables_number 129
_cell_length_a 3.343
_cell_length_b 3.343
_cell_length_c 7.851
_cell_angle_alpha 90.00
_cell_angle_beta 90.00
_cell_angle_gamma 90.00
loop_
_symmetry_equiv_pos_as_xyz
'x,y,z'
'-x,-y,-z'
'-y+1/2,x,z'
'y+1/2,-x,-z'
'-x+1/2,-y+1/2,z'
'x+1/2,y+1/2,-z'
'y,-x+1/2,z'
'-y,x+1/2,-z'
'x+1/2,-y,-z'
'-x+1/2,y,z'
'-y,-x,-z'
'y,x,z'
'-x,y+1/2,-z'
'x,-y+1/2,z'
'y+1/2,x+1/2,-z'
'-y+1/2,-x+1/2,z'
loop_
_atom_site_label
_atom_site_fract_x
_atom_site_fract_y
_atom_site_fract_z
Be1 0.250 0.750 0.000
Tc1 0.250 0.250 0.332
P1 0.250 0.250 0.815
O1 0.250 0.750 0.500
```

***

Which structure is the most stable? The one labeled <two>.